# 1
Compound: LaYTa2Pd
Source: the Alexandria database
Functional: PBE
Structure: optimized geometry

Computed properties:
Energy relative to the elements in eV per atom: 0.655

Structure (CIF):
```
data_LaYTa2Pd
_space_group_name_H-M_alt 'P 4/m m m'
_space_group_IT_number 123
_space_group_name_Hall '-P 4 2'
_cell_length_a 5.028
_cell_length_b 5.028
_cell_length_c 5.269
_cell_angle_alpha 90.00
_cell_angle_beta 90.00
_cell_angle_gamma 90.00
loop_
_atom_site_label
_atom_site_type_symbol
_atom_site_fract_x
_atom_site_fract_y
_atom_site_fract_z
La1 La 0.000 0.000 0.000
Y1 Y 0.500 0.500 0.000
Ta1 Ta 0.000 0.500 0.500
Pd1 Pd 0.500 0.500 0.500
```

# 2
Compound: PrAl22O34
Source: the Alexandria database
Functional: PBE
Structure: optimized geometry

Computed properties:
E_form (uncorrected) in eV per atom: -2.975

Structure (CIF):
```
data_PrAl22O34
_space_group_name_H-M_alt 'P -1'
_space_group_IT_number 2
_cell_length_a 9.815
_cell_length_b 11.299
_cell_length_c 11.801
_cell_angle_alpha 76.15
_cell_angle_beta 82.02
_cell_angle_gamma 90.00
loop_
_space_group_symop_operation_xyz
'x,y,z'
'-x,-y,-z'
loop_
_atom_site_label
_atom_site_type_symbol
_atom_site_fract_x
_atom_site_fract_y
_atom_site_fract_z
Pr1 Pr 0.000 0.000 0.000
Pr2 Pr 0.500 0.500 0.000
Al1 Al 0.000 0.000 0.500
Al2 Al 0.000 0.500 0.500
Al3 Al 0.048 0.320 0.716
Al4 Al 0.048 0.572 0.716
Al5 Al 0.050 0.820 0.717
Al6 Al 0.051 0.075 0.705
Al7 Al 0.174 0.262 0.448
Al8 Al 0.176 0.762 0.450
Al9 Al 0.203 0.053 0.284
Al10 Al 0.203 0.554 0.283
Al11 Al 0.222 0.337 0.148
Al12 Al 0.227 0.836 0.149
Al13 Al 0.273 0.411 0.851
Al14 Al 0.278 0.911 0.852
Al15 Al 0.296 0.195 0.717
Al16 Al 0.298 0.695 0.716
Al17 Al 0.324 0.487 0.551
Al18 Al 0.326 0.986 0.550
Al19 Al 0.449 0.427 0.295
Al20 Al 0.450 0.178 0.284
Al21 Al 0.451 0.930 0.283
Al22 Al 0.452 0.678 0.284
Al23 Al 0.499 0.249 0.502
O1 O 0.044 0.068 0.212
O2 O 0.044 0.827 0.206
O3 O 0.046 0.322 0.207
O4 O 0.047 0.571 0.216
O5 O 0.093 0.907 0.401
O6 O 0.094 0.142 0.398
O7 O 0.094 0.644 0.399
O8 O 0.096 0.407 0.399
O9 O 0.140 0.475 0.599
O10 O 0.141 0.976 0.599
O11 O 0.148 0.722 0.612
O12 O 0.149 0.222 0.610
O13 O 0.196 0.052 0.794
O14 O 0.200 0.300 0.791
O15 O 0.202 0.552 0.789
O16 O 0.204 0.802 0.789
O17 O 0.218 0.891 0.000
O18 O 0.282 0.391 0.000
O19 O 0.296 0.197 0.211
O20 O 0.298 0.947 0.211
O21 O 0.299 0.696 0.208
O22 O 0.304 0.449 0.206
O23 O 0.351 0.528 0.389
O24 O 0.352 0.027 0.389
O25 O 0.359 0.276 0.401
O26 O 0.360 0.775 0.401
O27 O 0.403 0.106 0.601
O28 O 0.405 0.343 0.601
O29 O 0.407 0.607 0.599
O30 O 0.407 0.841 0.601
O31 O 0.453 0.179 0.784
O32 O 0.455 0.926 0.793
O33 O 0.456 0.430 0.794
O34 O 0.456 0.675 0.787
```

# 3
Compound: Be4ZnNi5
Source: the Alexandria database
Functional: PBE
Structure: optimized geometry

Computed properties:
Energy relative to the elements in eV per atom: -0.431

Structure (CIF):
```
data_Be4ZnNi5
_space_group_name_H-M_alt 'P 4/m m m'
_space_group_IT_number 123
_space_group_name_Hall '-P 4 2'
_cell_length_a 2.597
_cell_length_b 2.597
_cell_length_c 14.120
_cell_angle_alpha 90.00
_cell_angle_beta 90.00
_cell_angle_gamma 90.00
loop_
_atom_site_label
_atom_site_type_symbol
_atom_site_fract_x
_atom_site_fract_y
_atom_site_fract_z
Be1 Be 0.000 0.000 0.093
Be2 Be 0.000 0.000 0.281
Zn1 Zn 0.000 0.000 0.500
Ni1 Ni 0.500 0.500 0.000
Ni2 Ni 0.500 0.500 0.186
Ni3 Ni 0.500 0.500 0.373
```

# 4
Compound: Rb3Pm2TmSe6
Source: the Alexandria database
Functional: PBE
Structure: optimized geometry

Computed properties:
E_form (uncorrected) in eV per atom: -1.731

Structure (CIF):
```
data_Rb3Pm2TmSe6
_space_group_name_H-M_alt 'C 1 2/m 1'
_space_group_IT_number 12
_cell_length_a 7.443
_cell_length_b 12.892
_cell_length_c 8.384
_cell_angle_alpha 90.00
_cell_angle_beta 107.23
_cell_angle_gamma 90.00
loop_
_space_group_symop_operation_xyz
'x,y,z'
'-x,-y,-z'
'-x,y,-z'
'x,-y,z'
'x+1/2,y+1/2,z'
'-x+1/2,-y+1/2,-z'
'-x+1/2,y+1/2,-z'
'x+1/2,-y+1/2,z'
loop_
_atom_site_label
_atom_site_type_symbol
_atom_site_fract_x
_atom_site_fract_y
_atom_site_fract_z
Rb1 Rb 0.000 0.000 0.000
Rb2 Rb 0.000 0.332 0.000
Pm1 Pm 0.000 0.166 0.500
Tm1 Tm 0.000 0.500 0.500
Se1 Se 0.228 0.338 0.697
Se2 Se 0.242 0.000 0.698
```

# 5
Compound: KAs2Ir
Source: the Alexandria database
Functional: PBE
Structure: optimized geometry

Computed properties:
Energy relative to the lowest polymorph listed for this composition in eV per atom: 0.902
Energy relative to the elements in eV per atom: 0.595

Structure (CIF):
```
data_KAs2Ir
_space_group_name_H-M_alt 'P 4/m m m'
_space_group_IT_number 123
_space_group_name_Hall '-P 4 2'
_cell_length_a 4.391
_cell_length_b 4.391
_cell_length_c 4.025
_cell_angle_alpha 90.00
_cell_angle_beta 90.00
_cell_angle_gamma 90.00
loop_
_atom_site_label
_atom_site_type_symbol
_atom_site_fract_x
_atom_site_fract_y
_atom_site_fract_z
K1 K 0.000 0.000 0.000
As1 As 0.000 0.500 0.500
Ir1 Ir 0.500 0.500 0.000
```

# 6
Compound: NdSmTm
Source: the Alexandria database
Functional: PBE
Structure: optimized geometry

Computed properties:
Energy relative to the lowest polymorph listed for this composition in eV per atom: 0.003
Energy relative to the elements in eV per atom: 0.022

Structure (CIF):
```
data_NdSmTm
_space_group_name_H-M_alt 'P -3 m 1'
_space_group_IT_number 164
_space_group_name_Hall '-P 3 2"'
_cell_length_a 3.6052
_cell_length_b 3.6052
_cell_length_c 17.5704
_cell_angle_alpha 90.00
_cell_angle_beta 90.00
_cell_angle_gamma 120.00
loop_
_atom_site_label
_atom_site_type_symbol
_atom_site_fract_x
_atom_site_fract_y
_atom_site_fract_z
Nd1 Nd 0.0000 0.0000 0.2445
Sm1 Sm 0.3333 0.6667 0.4169
Tm1 Tm 0.3333 0.6667 0.0793
```

# 7
Compound: CsRhPb2
Source: the Alexandria database
Functional: PBE
Structure: optimized geometry

Computed properties:
Energy relative to the lowest polymorph listed for this composition in eV per atom: 0.010
Energy relative to the elements in eV per atom: -0.046

Structure (CIF):
```
data_CsRhPb2
_space_group_name_H-M_alt 'R 3 m'
_space_group_IT_number 160
_space_group_name_Hall 'R 3 -2"'
_cell_length_a 4.5919
_cell_length_b 4.5919
_cell_length_c 22.8118
_cell_angle_alpha 90.00
_cell_angle_beta 90.00
_cell_angle_gamma 120.00
loop_
_atom_site_label
_atom_site_type_symbol
_atom_site_fract_x
_atom_site_fract_y
_atom_site_fract_z
Cs1 Cs 0.0000 0.0000 0.0000
Rh1 Rh 0.0000 0.0000 0.1719
Pb1 Pb 0.0000 0.0000 0.5456
Pb2 Pb 0.0000 0.0000 0.7933
```

# 8
Compound: MnS2BrCl
Source: the Alexandria database
Functional: PBE
Structure: optimized geometry

Computed properties:
Energy relative to the lowest polymorph listed for this composition in eV per atom: 0.631
E_form (uncorrected) in eV per atom: 0.862

Structure (CIF):
```
data_MnS2BrCl
_space_group_name_H-M_alt 'P 4/m m m'
_space_group_IT_number 123
_space_group_name_Hall '-P 4 2'
_cell_length_a 4.927
_cell_length_b 4.927
_cell_length_c 4.987
_cell_angle_alpha 90.00
_cell_angle_beta 90.00
_cell_angle_gamma 90.00
loop_
_atom_site_label
_atom_site_type_symbol
_atom_site_fract_x
_atom_site_fract_y
_atom_site_fract_z
Mn1 Mn 0.000 0.000 0.000
S1 S 0.000 0.500 0.500
Br1 Br 0.500 0.500 0.500
Cl1 Cl 0.500 0.500 0.000
```

# 9
Compound: Sc5Ir4Os
Source: the Alexandria database
Functional: PBE
Structure: optimized geometry

Computed properties:
Energy relative to the elements in eV per atom: -0.900

Structure (CIF):
```
data_Sc5Ir4Os
_space_group_name_H-M_alt 'P 4/m m m'
_space_group_IT_number 123
_space_group_name_Hall '-P 4 2'
_cell_length_a 3.219
_cell_length_b 3.219
_cell_length_c 16.164
_cell_angle_alpha 90.00
_cell_angle_beta 90.00
_cell_angle_gamma 90.00
loop_
_atom_site_label
_atom_site_type_symbol
_atom_site_fract_x
_atom_site_fract_y
_atom_site_fract_z
Sc1 Sc 0.000 0.000 0.000
Sc2 Sc 0.000 0.000 0.202
Sc3 Sc 0.000 0.000 0.403
Ir1 Ir 0.500 0.500 0.100
Ir2 Ir 0.500 0.500 0.300
Os1 Os 0.500 0.500 0.500
```

# 10
Compound: Pm6PrNdHo2
Source: the Alexandria database
Functional: PBE
Structure: optimized geometry

Computed properties:
Energy relative to the elements in eV per atom: 0.115

Structure (CIF):
```
data_Pm6PrNdHo2
_space_group_name_H-M_alt 'C 1 2/c 1'
_space_group_IT_number 15
_cell_length_a 9.328
_cell_length_b 15.256
_cell_length_c 9.734
_cell_angle_alpha 90.00
_cell_angle_beta 97.31
_cell_angle_gamma 90.00
loop_
_space_group_symop_operation_xyz
'x,y,z'
'-x,-y,-z'
'-x,y,-z+1/2'
'x,-y,z+1/2'
'x+1/2,y+1/2,z'
'-x+1/2,-y+1/2,-z'
'-x+1/2,y+1/2,-z+1/2'
'x+1/2,-y+1/2,z+1/2'
loop_
_atom_site_label
_atom_site_type_symbol
_atom_site_fract_x
_atom_site_fract_y
_atom_site_fract_z
Pm1 Pm 0.066 0.177 0.444
Pm2 Pm 0.096 0.391 0.619
Pm3 Pm 0.210 0.227 0.819
Pr1 Pr 0.000 0.406 0.250
Nd1 Nd 0.000 0.031 0.750
Ho1 Ho 0.247 0.049 0.048
```

# 11
Compound: Rb4Pa3CoS8
Source: the Alexandria database
Functional: PBE
Structure: optimized geometry

Computed properties:
E_form (uncorrected) in eV per atom: -1.253

Structure (CIF):
```
data_Rb4Pa3CoS8
_space_group_name_H-M_alt 'C 1 2/m 1'
_space_group_IT_number 12
_cell_length_a 13.807
_cell_length_b 7.961
_cell_length_c 9.034
_cell_angle_alpha 90.00
_cell_angle_beta 120.66
_cell_angle_gamma 90.00
loop_
_space_group_symop_operation_xyz
'x,y,z'
'-x,-y,-z'
'-x,y,-z'
'x,-y,z'
'x+1/2,y+1/2,z'
'-x+1/2,-y+1/2,-z'
'-x+1/2,y+1/2,-z'
'x+1/2,-y+1/2,z'
loop_
_atom_site_label
_atom_site_type_symbol
_atom_site_fract_x
_atom_site_fract_y
_atom_site_fract_z
Rb1 Rb 0.000 0.000 0.000
Rb2 Rb 0.000 0.500 0.000
Rb3 Rb 0.250 0.250 0.000
Pa1 Pa 0.000 0.000 0.500
Pa2 Pa 0.250 0.250 0.500
Co1 Co 0.000 0.500 0.500
S1 S 0.018 0.256 0.311
S2 S 0.227 0.500 0.690
S3 S 0.233 0.000 0.699
```

# 12
Compound: BaHoAgTe3
Source: the Alexandria database
Functional: PBE
Structure: optimized geometry

Computed properties:
E_form (uncorrected) in eV per atom: -1.248

Structure (CIF):
```
data_BaHoAgTe3
_space_group_name_H-M_alt 'P 1 21/m 1'
_space_group_IT_number 11
_cell_length_a 9.226
_cell_length_b 4.513
_cell_length_c 10.173
_cell_angle_alpha 90.00
_cell_angle_beta 105.43
_cell_angle_gamma 90.00
loop_
_space_group_symop_operation_xyz
'x,y,z'
'-x,-y,-z'
'-x,y+1/2,-z'
'x,-y+1/2,z'
loop_
_atom_site_label
_atom_site_type_symbol
_atom_site_fract_x
_atom_site_fract_y
_atom_site_fract_z
Ba1 Ba 0.200 0.250 0.252
Ho1 Ho 0.322 0.750 0.840
Ag1 Ag 0.081 0.250 0.587
Te1 Te 0.104 0.250 0.873
Te2 Te 0.249 0.750 0.529
Te3 Te 0.446 0.750 0.156
```

Number 1: V 133.2 Å³ per cell, calculated total energy -37.0 eV per cell. Number 2: V 1257.8 Å³ per cell, calculated total energy -850.5 eV per cell. Number 3: V 95.2 Å³ per cell, calculated total energy -49.4 eV per cell. Number 4: V 768.4 Å³ per cell, calculated total energy -117.1 eV per cell. Number 5: V 77.6 Å³ per cell, calculated total energy -16.9 eV per cell. Number 6: V 197.8 Å³ per cell, calculated total energy -27.8 eV per cell. Number 7: V 416.6 Å³ per cell, calculated total energy -47.4 eV per cell. Number 8: V 121.1 Å³ per cell, calculated total energy -16.6 eV per cell. Number 9: V 167.5 Å³ per cell, calculated total energy -87.3 eV per cell. Number 10: V 1373.9 Å³ per cell, calculated total energy -184.2 eV per cell. Number 11: V 854.2 Å³ per cell, calculated total energy -185.1 eV per cell. Number 12: V 408.3 Å³ per cell, calculated total energy -52.5 eV per cell.